DFT (PBE-GGA) results for a relaxed FeTeAs2 crystal.

Values from the calculation:
The total moment is 1.25 μB per formula unit. The space group is No. 65. The density of states at the Fermi level is 0.46 states/eV per atom. As for the uncorrected formation energy: 36 meV per atom.

Unit cell a=5.426 b=5.426 c=3.122 alpha=90.00 beta=90.00 gamma=124.89
Fractional positions:
1 Fe 0.000 0.000 0.000
2 Te 0.500 0.500 0.000
3 As 0.194 0.806 0.500
4 As 0.806 0.194 0.500

DFT (PBE-GGA) results for a relaxed Tl2ZnAu2 crystal.

Values from the calculation:
The total moment is 0.00 μB per formula unit. The space group is No. 139. The formation energy comes out at 0.24 eV per atom. The density of states at the Fermi level is 0.33 states/eV per atom. Its energy above the lowest structure with this stoichiometry is 1.36 eV per formula unit.

Unit cell a=7.226 b=7.226 c=7.226 alpha=143.21 beta=143.21 gamma=53.01
Fractional positions:
1 Tl 0.250 0.750 0.500
2 Tl 0.750 0.250 0.500
3 Zn 0.000 0.000 0.000
4 Au 0.398 0.398 0.000
5 Au 0.602 0.602 0.000

DFT (PBE-GGA) results for a relaxed Be2VBr crystal.

Values from the calculation:
The total moment is 2.80 μB per formula unit. The space group is No. 122. The density of states at the Fermi level is 1.00 states/eV per atom. As for the uncorrected formation energy: 850 meV per atom. Its energy above the lowest structure with this stoichiometry is 0.00 eV per formula unit.

Unit cell a=5.470 b=5.470 c=5.470 alpha=102.61 beta=102.61 gamma=124.29
Fractional positions:
1 Be 0.107 0.125 0.482
2 Be 0.375 0.893 0.018
3 Be 0.643 0.625 0.518
4 Be 0.875 0.357 0.982
5 V 0.250 0.750 0.500
6 V 0.500 0.500 0.000
7 Br 0.000 0.000 0.000
8 Br 0.750 0.250 0.500

DFT (PBE-GGA) results for a relaxed Mg2AlOs crystal.

Values from the calculation:
The total moment is 0.00 μB per formula unit. The space group is No. 166. The formation energy comes out at 0.17 eV per atom. The density of states at the Fermi level is 0.66 states/eV per atom.

Unit cell a=9.325 b=9.325 c=9.325 alpha=17.97 beta=17.97 gamma=17.97
Fractional positions:
1 Mg 0.246 0.246 0.246
2 Mg 0.754 0.754 0.754
3 Al 0.000 0.000 0.000
4 Os 0.500 0.500 0.500

DFT (PBE-GGA) results for a relaxed NbOF3 crystal.

Values from the calculation:
The total moment is 0.00 μB per formula unit. The space group is No. 2. The density of states at the Fermi level is 0.00 states/eV per atom. As for the uncorrected formation energy: -2898 meV per atom.

Unit cell a=6.355 b=7.894 c=8.858 alpha=101.03 beta=108.63 gamma=109.50
Fractional positions:
1 Nb 0.014 0.034 0.209
2 Nb 0.147 0.393 0.629
3 Nb 0.853 0.607 0.371
4 Nb 0.986 0.966 0.791
5 O 0.056 0.193 0.705
6 O 0.076 0.219 0.397
7 O 0.924 0.781 0.603
8 O 0.944 0.807 0.295
9 F 0.055 0.176 0.050
10 F 0.188 0.590 0.811
11 F 0.188 0.611 0.498
12 F 0.328 0.034 0.257
13 F 0.332 0.073 0.908
14 F 0.485 0.468 0.693
15 F 0.515 0.532 0.307
16 F 0.668 0.927 0.092
17 F 0.672 0.966 0.743
18 F 0.812 0.389 0.502
19 F 0.812 0.410 0.189
20 F 0.945 0.824 0.950

DFT (PBE-GGA) results for a relaxed CsAl2Sn crystal.

Values from the calculation:
The total moment is 0.00 μB per formula unit. The space group is No. 141. The formation energy comes out at 0.23 eV per atom. The density of states at the Fermi level is 0.49 states/eV per atom.

Unit cell a=10.421 b=10.421 c=10.421 alpha=148.77 beta=148.77 gamma=44.75
Fractional positions:
1 Cs 0.375 0.625 0.750
2 Cs 0.625 0.375 0.250
3 Al 0.000 0.000 0.000
4 Al 0.000 0.000 0.500
5 Al 0.000 0.500 0.000
6 Al 0.500 0.000 0.500
7 Sn 0.125 0.875 0.250
8 Sn 0.875 0.125 0.750

DFT (PBE-GGA) results for a relaxed TmThZnGa crystal.

Values from the calculation:
The total moment is 0.00 μB per formula unit. The space group is No. 216. The formation energy comes out at -0.39 eV per atom. The density of states at the Fermi level is 0.27 states/eV per atom.

Unit cell a=5.101 b=5.101 c=5.101 alpha=60.00 beta=60.00 gamma=60.00
Fractional positions:
1 Tm 0.000 0.000 0.000
2 Th 0.500 0.500 0.500
3 Zn 0.250 0.250 0.250
4 Ga 0.750 0.750 0.750

DFT (PBE-GGA) results for a relaxed Nd4Ga2N crystal.

Values from the calculation:
The total moment is 0.00 μB per formula unit. The space group is No. 139. The density of states at the Fermi level is 0.67 states/eV per atom. As for the uncorrected formation energy: -662 meV per atom. Its energy above the lowest structure with this stoichiometry is 0.38 eV per formula unit.

Unit cell a=8.440 b=8.440 c=8.440 alpha=146.17 beta=146.17 gamma=48.60
Fractional positions:
1 Nd 0.000 0.500 0.500
2 Nd 0.171 0.171 0.000
3 Nd 0.500 0.000 0.500
4 Nd 0.829 0.829 0.000
5 Ga 0.369 0.369 0.000
6 Ga 0.631 0.631 0.000
7 N 0.000 0.000 0.000

DFT (PBE-GGA) results for a relaxed Cd5Sn12Sb3 crystal.

Values from the calculation:
The total moment is 0.00 μB per formula unit. The space group is No. 230. The density of states at the Fermi level is 0.60 states/eV per atom. As for the uncorrected formation energy: 209 meV per atom.

Unit cell a=15.304 b=15.304 c=15.304 alpha=109.47 beta=109.47 gamma=109.47
Fractional positions:
1 Cd 0.000 0.000 0.000
2 Cd 0.000 0.000 0.500
3 Cd 0.000 0.500 0.000
4 Cd 0.000 0.500 0.500
5 Cd 0.125 0.750 0.875
6 Cd 0.125 0.875 0.250
7 Cd 0.250 0.125 0.875
8 Cd 0.250 0.625 0.375
9 Cd 0.375 0.250 0.625
10 Cd 0.375 0.625 0.750
11 Cd 0.500 0.000 0.000
12 Cd 0.500 0.000 0.500
13 Cd 0.500 0.500 0.000
14 Cd 0.500 0.500 0.500
15 Cd 0.625 0.375 0.250
16 Cd 0.625 0.750 0.375
17 Cd 0.750 0.375 0.625
18 Cd 0.750 0.875 0.125
19 Cd 0.875 0.125 0.750
20 Cd 0.875 0.250 0.125
21 Sn 0.069 0.226 0.148
22 Sn 0.069 0.344 0.922
23 Sn 0.078 0.648 0.422
24 Sn 0.078 0.726 0.656
25 Sn 0.078 0.852 0.422
26 Sn 0.078 0.931 0.656
27 Sn 0.148 0.069 0.226
28 Sn 0.148 0.578 0.922
29 Sn 0.156 0.226 0.578
30 Sn 0.156 0.431 0.578
31 Sn 0.226 0.148 0.069
32 Sn 0.226 0.578 0.156
33 Sn 0.274 0.344 0.922
34 Sn 0.274 0.431 0.352
35 Sn 0.344 0.922 0.069
36 Sn 0.344 0.922 0.274
37 Sn 0.352 0.274 0.431
38 Sn 0.352 0.578 0.922
39 Sn 0.422 0.078 0.648
40 Sn 0.422 0.078 0.852
41 Sn 0.422 0.844 0.569
42 Sn 0.422 0.844 0.774
43 Sn 0.431 0.352 0.274
44 Sn 0.431 0.578 0.156
45 Sn 0.569 0.422 0.844
46 Sn 0.569 0.648 0.726
47 Sn 0.578 0.156 0.226
48 Sn 0.578 0.156 0.431
49 Sn 0.578 0.922 0.148
50 Sn 0.578 0.922 0.352
51 Sn 0.648 0.422 0.078
52 Sn 0.648 0.726 0.569
53 Sn 0.656 0.078 0.726
54 Sn 0.656 0.078 0.931
55 Sn 0.726 0.569 0.648
56 Sn 0.726 0.656 0.078
57 Sn 0.774 0.422 0.844
58 Sn 0.774 0.852 0.931
59 Sn 0.844 0.569 0.422
60 Sn 0.844 0.774 0.422
61 Sn 0.852 0.422 0.078
62 Sn 0.852 0.931 0.774
63 Sn 0.922 0.069 0.344
64 Sn 0.922 0.148 0.578
65 Sn 0.922 0.274 0.344
66 Sn 0.922 0.352 0.578
67 Sn 0.931 0.656 0.078
68 Sn 0.931 0.774 0.852
69 Sb 0.125 0.250 0.375
70 Sb 0.125 0.375 0.750
71 Sb 0.250 0.375 0.125
72 Sb 0.250 0.875 0.625
73 Sb 0.375 0.125 0.250
74 Sb 0.375 0.750 0.125
75 Sb 0.625 0.250 0.875
76 Sb 0.625 0.875 0.750
77 Sb 0.750 0.125 0.375
78 Sb 0.750 0.625 0.875
79 Sb 0.875 0.625 0.250
80 Sb 0.875 0.750 0.625